(1)
Here is a relaxed ZrZn2Sb crystal from the Alexandria database. Energies are from GGA-PBE.

## Properties
The value obtained for the density of states at the Fermi level is 2.76 states/eV/cell. The space group is R3m, No. 160. For the uncorrected formation energy, the calculation gives -0.30 kcal/mol of atoms. The uncorrected energy comes out at -15.3 eV per cell. For the volume, the calculation gives 83.3 Å³/cell.

Lattice parameters (Å, degrees): 9.3405 9.3405 9.3405 19.98 19.98 19.98
Fractional positions:
Zr 0.0000 0.0000 0.0000
Zn 0.2499 0.2499 0.2499
Zn 0.5135 0.5135 0.5135
Sb 0.7563 0.7563 0.7563

(2)
Here is a relaxed Zr2ScPdN crystal from the Alexandria database. Energies are from GGA-PBE.

## Properties
The value obtained for the density of states at the Fermi level is 4.71 states/eV/cell. The space group is P4/mmm, No. 123. For the uncorrected formation energy, the calculation gives -22.30 kcal/mol of atoms. The uncorrected energy comes out at -41.8 eV per cell. For the volume, the calculation gives 86.8 Å³/cell.

Lattice parameters (Å, degrees): 4.4655 4.4655 4.3523 90.00 90.00 90.00
Fractional positions:
Zr 0.0000 0.5000 0.0000
Zr 0.5000 0.0000 0.0000
Sc 0.0000 0.0000 0.5000
Pd 0.5000 0.5000 0.5000
N 0.0000 0.0000 0.0000

(3)
Here is a relaxed ThZn2Pd2Au crystal from the Alexandria database. Energies are from GGA-PBE.

## Properties
The value obtained for the density of states at the Fermi level is 2.32 states/eV/cell. The space group is P4/mmm, No. 123. The uncorrected energy comes out at -24.6 eV per cell. For the volume, the calculation gives 127.1 Å³/cell.

Lattice parameters (Å, degrees): 4.7229 4.7229 5.6996 90.00 90.00 90.00
Fractional positions:
Th 0.0000 0.0000 0.0000
Zn 0.0000 0.5000 0.5000
Zn 0.5000 0.0000 0.5000
Pd 0.5000 0.5000 0.2375
Pd 0.5000 0.5000 0.7625
Au 0.0000 0.0000 0.5000

(4)
Here is a relaxed HfRuI2O crystal from the Alexandria database. Energies are from GGA-PBE.

## Properties
The value obtained for the density of states at the Fermi level is 5.43 states/eV/cell. The space group is P4/mmm, No. 123. For the uncorrected formation energy, the calculation gives -5.36 kcal/mol of atoms. The uncorrected energy comes out at -28.4 eV per cell. As for the relative energy among the computed polymorphs: 0 meV per atom. For the volume, the calculation gives 129.2 Å³/cell.

Lattice parameters (Å, degrees): 5.7509 5.7509 3.9051 90.00 90.00 90.00
Fractional positions:
Hf 0.0000 0.0000 0.0000
Ru 0.5000 0.5000 0.5000
I 0.0000 0.5000 0.0000
I 0.5000 0.0000 0.0000
O 0.0000 0.0000 0.5000

(5)
Here is a relaxed B3PtS crystal from the Alexandria database. Energies are from GGA-PBE.

## Properties
The value obtained for the density of states at the Fermi level is 3.75 states/eV/cell. The space group is Pm-3m, No. 221. For the uncorrected formation energy, the calculation gives 26.78 kcal/mol of atoms. The uncorrected energy comes out at -24.4 eV per cell. As for the relative energy among the computed polymorphs: 0 meV per atom. For the volume, the calculation gives 71.6 Å³/cell.

Lattice parameters (Å, degrees): 4.1534 4.1534 4.1534 90.00 90.00 90.00
Fractional positions:
B 0.0000 0.0000 0.5000
B 0.0000 0.5000 0.0000
B 0.5000 0.0000 0.0000
Pt 0.0000 0.0000 0.0000
S 0.5000 0.5000 0.5000

(6)
Here is a relaxed AlFe4Co crystal from the Alexandria database. Energies are from GGA-PBE.

## Properties
The value obtained for the density of states at the Fermi level is 6.25 states/eV/cell. The space group is P4/mmm, No. 123. The uncorrected energy comes out at -45.4 eV per cell. As for the relative energy among the computed polymorphs: 0 meV per atom. For the volume, the calculation gives 70.6 Å³/cell.

Lattice parameters (Å, degrees): 2.8980 2.8980 8.4025 90.00 90.00 90.00
Fractional positions:
Al 0.0000 0.0000 0.0000
Fe 0.0000 0.0000 0.3339
Fe 0.0000 0.0000 0.6661
Fe 0.5000 0.5000 0.1733
Fe 0.5000 0.5000 0.8267
Co 0.5000 0.5000 0.5000

(7)
Here is a relaxed LiZnAg2Cl6 crystal from the Alexandria database. Energies are from GGA-PBE.

## Properties
The value obtained for the density of states at the Fermi level is 4.07 states/eV/cell. The space group is P1, No. 1. For the uncorrected formation energy, the calculation gives -19.92 kcal/mol of atoms. The uncorrected energy comes out at -28.6 eV per cell. For the volume, the calculation gives 241.3 Å³/cell.

Lattice parameters (Å, degrees): 6.4193 6.6440 6.8057 106.33 90.68 118.44
Fractional positions:
Li 0.0000 0.0000 0.0000
Zn 0.4357 0.9998 0.4883
Ag 0.2359 0.5206 0.8159
Ag 0.7270 0.5091 0.3003
Cl 0.1420 0.0199 0.6622
Cl 0.3378 0.0091 0.1654
Cl 0.4794 0.6941 0.5473
Cl 0.6451 0.6703 0.0404
Cl 0.8138 0.3577 0.5757
Cl 0.9881 0.3685 0.0784

(8)
Here is a relaxed CeSm3Si4 crystal from the Alexandria database. Energies are from GGA-PBE.

## Properties
The value obtained for the density of states at the Fermi level is 8.58 states/eV/cell. The space group is Immm, No. 71. For the uncorrected formation energy, the calculation gives -11.43 kcal/mol of atoms. The uncorrected energy comes out at -45.7 eV per cell. For the volume, the calculation gives 206.9 Å³/cell.

Lattice parameters (Å, degrees): 8.7266 8.7266 8.7266 152.66 137.07 51.65
Fractional positions:
Ce 0.0000 0.0000 0.0000
Sm 0.1922 0.6922 0.5000
Sm 0.5000 0.5000 0.0000
Sm 0.8078 0.3078 0.5000
Si 0.1857 0.8693 0.3164
Si 0.4471 0.1307 0.3164
Si 0.5529 0.8693 0.6836
Si 0.8143 0.1307 0.6836